(1)
Compound: MgCuRe
Source: Alexandria via LeMat-Bulk
Functional: PBE-GGA
Structure: relaxed

The space group is I4mm (No. 107) and the conventional cell measures 2.665, 2.665 and 12.547 Å, with angles of 90.00, 90.00 and 90.00 degrees. The asymmetric unit holds Mg at (0.000, 0.000, 0.000), Cu at (0.000, 0.000, 0.333) and Re at (0.000, 0.000, 0.677).

The value obtained for the energy relative to the elements is 0.73 eV/f.u. The total magnetization is 0.0 μB per cell. Its polymorph energy (0 for the lowest one) is 0 meV per atom. The total energy is -5.80 eV/atom.

---

(2)
Compound: GdZnAg
Source: Alexandria via LeMat-Bulk
Functional: PBE-GGA
Structure: relaxed

The space group is I4mm (No. 107) and the conventional cell measures 3.567, 3.567 and 10.109 Å, with angles of 90.00, 90.00 and 90.00 degrees. The asymmetric unit holds Gd at (0.000, 0.000, 0.000), Zn at (0.000, 0.000, 0.320) and Ag at (0.000, 0.000, 0.692).

The value obtained for the energy relative to the elements is -0.71 eV/f.u. The total magnetization is 14.5 μB per cell. The total energy is -6.30 eV/atom.

---

(3)
Compound: Sr5Ni3
Source: Alexandria via LeMat-Bulk
Functional: PBE-GGA
Structure: relaxed

The space group is P6_3/mcm (No. 193) and the conventional cell measures 8.8993, 8.8993 and 7.0609 Å, with angles of 90.00, 90.00 and 120.00 degrees. The asymmetric unit holds Sr at (0.0000, 0.2607, 0.2500), Sr at (0.3333, 0.6667, 0.0000) and Ni at (0.0000, 0.3926, 0.7500).

The value obtained for the energy relative to the elements is 0.72 eV/f.u. The total magnetization is 0.0 μB per cell. Its polymorph energy (0 for the lowest one) is 0 meV per atom. The total energy is -3.13 eV/atom.

---

(4)
Compound: KRb2PaBr8
Source: Alexandria via LeMat-Bulk
Functional: PBE-GGA
Structure: relaxed

The space group is P2/m (No. 10) and the conventional cell measures 6.957, 10.242 and 8.166 Å, with angles of 90.00, 91.27 and 90.00 degrees. The asymmetric unit holds K at (0.000, 0.000, 0.000), Rb at (0.500, 0.232, 0.500), Pa at (0.000, 0.500, 0.000), Br at (0.216, 0.500, 0.284), Br at (0.229, 0.311, 0.875) and Br at (0.274, 0.000, 0.302).

The total magnetization is 0.1 μB per cell. The formation energy without anion corrections is -1559 meV/atom. The total energy is -3.72 eV/atom.

---

(5)
Compound: LaSm4Cd5
Source: Alexandria via LeMat-Bulk
Functional: PBE-GGA
Structure: relaxed

The space group is P4/mmm (No. 123) and the conventional cell measures 3.837, 3.837 and 19.207 Å, with angles of 90.00, 90.00 and 90.00 degrees. The asymmetric unit holds La at (0.000, 0.000, 0.000), Sm at (0.000, 0.000, 0.205), Sm at (0.000, 0.000, 0.402), Cd at (0.500, 0.500, 0.108), Cd at (0.500, 0.500, 0.303) and Cd at (0.500, 0.500, 0.500).

The value obtained for the energy relative to the elements is -3.18 eV/f.u. The total magnetization is 1.8 μB per cell. The total energy is -3.16 eV/atom.

---

(6)
Compound: La3PuGe4
Source: Alexandria via LeMat-Bulk
Functional: PBE-GGA
Structure: relaxed

The space group is Immm (No. 71) and the conventional cell measures 4.316, 6.561 and 16.349 Å, with angles of 90.00, 90.00 and 90.00 degrees. The asymmetric unit holds La at (0.000, 0.000, 0.000), La at (0.000, 0.500, 0.194), Pu at (0.000, 0.000, 0.500) and Ge at (0.000, 0.309, 0.372).

The value obtained for the energy relative to the elements is -4.68 eV/f.u. The total magnetization is 12.0 μB per cell. The total energy is -6.53 eV/atom.

---

Q: Which formula does entry 2 have?
A: GdZnAg